#w
This record from Alexandria via LeMat-Bulk describes an optimized crystal structure of LaPrTlGa. The functional is PBE-GGA.

The size of the total moment is 0.00 μB/f.u.

The structure belongs to space group F-43m (No. 216); the cell edges are 7.733, 7.733 and 7.733 Å and the angles 90.00°, 90.00° and 90.00°. Symmetry generates all atoms from La at (0.000, 0.000, 0.000), Pr at (0.000, 0.000, 0.500), Tl at (0.250, 0.250, 0.750) and Ga at (0.250, 0.250, 0.250).


#x
This record from Alexandria via LeMat-Bulk describes an optimized crystal structure of LaPrTlGa. The functional is PBE-GGA.

The size of the total moment is 0.00 μB/f.u.

The structure belongs to space group P4mm (No. 99); the cell edges are 3.801, 3.801 and 7.939 Å and the angles 90.00°, 90.00° and 90.00°. Symmetry generates all atoms from La at (0.000, 0.000, 0.000), Pr at (0.000, 0.000, 0.465), Tl at (0.500, 0.500, 0.727) and Ga at (0.500, 0.500, 0.237).


Top of the stability list: #x, leading by 2.8 kJ/mol of atoms.